Record 1
This record from Alexandria via LeMat-Bulk describes crystalline V13Fe2 at its relaxed geometry. The functional is PBE.

Results
calculated formation energy	-94	meV/atom

Unit cell a=4.903 b=6.600 c=6.602 alpha=66.38 beta=81.89 gamma=81.64
Fractional coordinates of all 15 atoms:
V: 0.000 0.000 0.000
V: 0.066 0.731 0.400
V: 0.196 0.207 0.198
V: 0.268 0.934 0.600
V: 0.326 0.664 0.001
V: 0.409 0.403 0.395
V: 0.463 0.135 0.800
V: 0.537 0.865 0.200
V: 0.591 0.597 0.605
V: 0.674 0.336 0.999
V: 0.732 0.066 0.400
V: 0.804 0.793 0.802
V: 0.934 0.269 0.600
Fe: 0.134 0.467 0.800
Fe: 0.866 0.533 0.200

=====

Record 2
This record from Alexandria via LeMat-Bulk describes crystalline KNiH4 at its relaxed geometry. The functional is PBE.

Results
distance to the lowest polymorph of the same formula	0.000	eV/atom

Unit cell a=3.319 b=3.319 c=5.309 alpha=90.00 beta=90.00 gamma=90.00
Fractional coordinates of all 6 atoms:
K: 0.000 0.000 0.000
Ni: 0.500 0.500 0.500
H: 0.000 0.500 0.500
H: 0.500 0.000 0.500
H: 0.500 0.500 0.215
H: 0.500 0.500 0.785

=====

Number 1: uncorrected energy -136.87 eV/f.u., V 192.9 Å³ per cell. Number 2: uncorrected energy -20.82 eV/f.u., V 58.5 Å³ per cell.